# HfRhI2O

A relaxed structure of HfRhI2O (GGA-PBEsol, Alexandria via LeMat-Bulk).

Computed properties:
Formation energy from raw total energies: -41.7 kJ/mol of atoms
Volume: 120.8 Å³/f.u.

Cell: 5.5926 5.5926 3.8619 Å, 90.00 90.00 90.00°
Last column: nearest neighbours and their distance in Å.
Space group P4/mmm (No. 123)
Inequivalent atoms, fractional coordinates:
Hf (0.0000, 0.0000, 0.0000) x1  2 O 1.93
Rh (0.5000, 0.5000, 0.5000) x1  8 I 3.40
I (0.0000, 0.5000, 0.0000) x2  2 Hf 2.80
O (0.0000, 0.0000, 0.5000) x1  2 Hf 1.93

# KWOF2

A relaxed structure of KWOF2 (GGA-PBEsol, Alexandria via LeMat-Bulk).

Computed properties:
Formation energy from raw total energies: 51.0 kJ/mol of atoms
Volume: 83.7 Å³/f.u.

Cell: 4.3597 4.3597 4.4049 Å, 90.00 90.00 90.00°
Last column: nearest neighbours and their distance in Å.
Space group P4/mmm (No. 123)
Inequivalent atoms, fractional coordinates:
K (0.0000, 0.0000, 0.0000) x1  4 F 2.18, 2 O 2.20
W (0.5000, 0.5000, 0.5000) x1  4 O 3.08, 8 F 3.10
O (0.0000, 0.0000, 0.5000) x1  2 K 2.20
F (0.0000, 0.5000, 0.0000) x2  2 K 2.18

# BeSCl2F

A relaxed structure of BeSCl2F (GGA-PBEsol, Alexandria via LeMat-Bulk).

Computed properties:
Formation energy from raw total energies: -8.5 kJ/mol of atoms
Volume: 79.6 Å³/f.u.

Cell: 4.2129 4.2129 4.4857 Å, 90.00 90.00 90.00°
Last column: nearest neighbours and their distance in Å.
Space group P4/mmm (No. 123)
Inequivalent atoms, fractional coordinates:
Be (0.0000, 0.0000, 0.0000) x1  4 Cl 2.11, 2 S 2.24
S (0.0000, 0.0000, 0.5000) x1  2 Be 2.24
Cl (0.0000, 0.5000, 0.0000) x2  2 Be 2.11
F (0.5000, 0.5000, 0.5000) x1  4 S 2.98, 8 Cl 3.08

# CaIrSe2

A relaxed structure of CaIrSe2 (GGA-PBEsol, Alexandria via LeMat-Bulk).

Computed properties:
Formation energy from raw total energies: -1.0 kJ/mol of atoms
Volume: 90.0 Å³/f.u.
Polymorph energy (0 for the lowest one): 0.731 eV/atom

Cell: 3.4862 3.4862 25.6657 Å, 90.00 90.00 120.00°
Last column: nearest neighbours and their distance in Å.
Space group R-3m (No. 166, hexagonal axes)
Inequivalent atoms, fractional coordinates:
Ca (0.0000, 0.0000, 0.0000) x3  6 Se 2.81
Ir (0.0000, 0.0000, 0.5000) x3  2 Se 2.31
Se (0.0000, 0.0000, 0.4099) x6  1 Ir 2.31

# YCd2

A relaxed structure of YCd2 (GGA-PBEsol, Alexandria via LeMat-Bulk).

Computed properties:
Volume: 69.0 Å³/f.u.
Energy relative to the elements: -0.305 eV/atom

Cell: 4.4942 12.6448 4.8587 Å, 90.00 90.00 90.00°
Last column: nearest neighbours and their distance in Å.
Space group Cmcm (No. 63)
Inequivalent atoms, fractional coordinates:
Y (0.0000, 0.0943, 0.2500) x4  10 Cd 3.05-3.31, 2 Y 3.40
Cd (0.0000, 0.2397, 0.7500) x4  4 Cd 2.95-3.26, 4 Y 3.05-3.07
Cd (0.0000, 0.4115, 0.2500) x4  6 Cd 2.95-3.30, 2 Y 3.22

# FeTeP

A relaxed structure of FeTeP (GGA-PBEsol, Alexandria via LeMat-Bulk).

Computed properties:
Formation energy from raw total energies: 3.7 kJ/mol of atoms
Volume: 49.3 Å³/f.u.

Cell: 5.8212 5.8212 5.8212 Å, 90.00 90.00 90.00°
Last column: nearest neighbours and their distance in Å.
Space group F-43m (No. 216)
Inequivalent atoms, fractional coordinates:
Fe (0.0000, 0.0000, 0.0000) x4  4 Te 2.52, 4 P 2.52
Te (0.2500, 0.2500, 0.2500) x4  4 Fe 2.52
P (0.2500, 0.2500, 0.7500) x4  4 Fe 2.52

# NaSrMgMn2

A relaxed structure of NaSrMgMn2 (GGA-PBEsol, Alexandria via LeMat-Bulk).

Computed properties:
Volume: 146.6 Å³/f.u.
Energy relative to the elements: 1.627 eV/atom

Cell: 5.2032 5.2032 5.4132 Å, 90.00 90.00 90.00°
Last column: nearest neighbours and their distance in Å.
Space group P4/mmm (No. 123)
Inequivalent atoms, fractional coordinates:
Na (0.0000, 0.0000, 0.0000) x1  2 Sr 2.71
Sr (0.0000, 0.0000, 0.5000) x1  4 Mn 2.60, 2 Na 2.71
Mg (0.5000, 0.5000, 0.0000) x1  4 Na 3.68, 8 Mn 3.75
Mn (0.0000, 0.5000, 0.5000) x2  2 Sr 2.60

# RbSrCuO2

A relaxed structure of RbSrCuO2 (GGA-PBEsol, Alexandria via LeMat-Bulk).

Computed properties:
Formation energy from raw total energies: 63.5 kJ/mol of atoms
Volume: 132.3 Å³/f.u.

Cell: 4.6668 4.6668 6.0751 Å, 90.00 90.00 90.00°
Last column: nearest neighbours and their distance in Å.
Space group P4/mmm (No. 123)
Inequivalent atoms, fractional coordinates:
Rb (0.0000, 0.0000, 0.0000) x1  4 O 2.33
Sr (0.0000, 0.0000, 0.5000) x1  2 Rb 3.04, 4 Cu 3.30
Cu (0.5000, 0.5000, 0.5000) x1  4 Sr 3.30
O (0.0000, 0.5000, 0.0000) x2  2 Rb 2.33

# Ba2CaCdMo

A relaxed structure of Ba2CaCdMo (GGA-PBEsol, Alexandria via LeMat-Bulk).

Computed properties:
Volume: 188.8 Å³/f.u.
Energy relative to the elements: 1.241 eV/atom

Cell: 6.3234 6.3234 4.7221 Å, 90.00 90.00 90.00°
Last column: nearest neighbours and their distance in Å.
Space group P4/mmm (No. 123)
Inequivalent atoms, fractional coordinates:
Ba (0.0000, 0.5000, 0.0000) x2  2 Ca 3.16
Ca (0.0000, 0.0000, 0.0000) x1  2 Mo 2.36
Cd (0.5000, 0.5000, 0.5000) x1  8 Ba 3.95
Mo (0.0000, 0.0000, 0.5000) x1  2 Ca 2.36

# LaCeGe4Pt4

A relaxed structure of LaCeGe4Pt4 (GGA-PBEsol, Alexandria via LeMat-Bulk).

Computed properties:
Volume: 187.2 Å³/f.u.
Energy relative to the elements: -0.944 eV/atom

Cell: 4.3412 4.3414 9.9303 Å, 90.00 90.04 90.00°
Last column: nearest neighbours and their distance in Å.
Space group Pm (No. 6)
Inequivalent atoms, fractional coordinates:
La (0.0000, 0.0000, 0.0000) x1  8 Ge 3.29-3.30, 8 Pt 3.32-3.35
Ce (0.4992, 0.5000, 0.5043) x1  8 Ge 3.26-3.30, 8 Pt 3.28-3.30
Ge (0.9998, 0.5000, 0.7491) x1  4 Pt 2.49
Ge (0.4998, 0.0000, 0.7492) x1  4 Pt 2.49
Ge (0.5009, 0.5000, 0.1209) x1  5 Pt 2.46-2.55
Ge (0.9975, 0.0000, 0.3831) x1  5 Pt 2.42-2.51
Pt (0.9997, 0.0000, 0.6268) x1  5 Ge 2.42-2.49
Pt (0.0014, 0.5000, 0.2556) x1  4 Ge 2.51-2.55
Pt (0.4973, 0.0000, 0.2555) x1  4 Ge 2.51-2.55
Pt (0.5000, 0.5000, 0.8729) x1  5 Ge 2.46-2.49

# CrOs2Rh

A relaxed structure of CrOs2Rh (GGA-PBEsol, Alexandria via LeMat-Bulk).

Computed properties:
Volume: 53.1 Å³/f.u.
Polymorph energy (0 for the lowest one): 0.029 eV/atom
Energy relative to the elements: 0.070 eV/atom

Cell: 8.7846 2.6704 4.6117 Å, 90.00 100.98 90.00°
Last column: nearest neighbours and their distance in Å.
Space group C2/m (No. 12)
Inequivalent atoms, fractional coordinates:
Cr (0.0000, 0.0000, 0.0000) x2  6 Os 2.59-2.69, 4 Rh 2.66, 2 Cr 2.67
Os (0.2437, 0.5000, 0.2398) x4  3 Cr 2.59-2.69, 6 Os 2.60-2.73, 3 Rh 2.65-2.69
Rh (0.0000, 0.5000, 0.5000) x2  6 Os 2.65-2.69, 4 Cr 2.66, 2 Rh 2.67

# BeCo2Sb

A relaxed structure of BeCo2Sb (GGA-PBEsol, Alexandria via LeMat-Bulk).

Computed properties:
Formation energy from raw total energies: -7.2 kJ/mol of atoms
Volume: 46.9 Å³/f.u.

Cell: 3.7127 3.9150 6.4560 Å, 90.00 90.00 90.00°
Last column: nearest neighbours and their distance in Å.
Space group Immm (No. 71)
Inequivalent atoms, fractional coordinates:
Be (0.0000, 0.0000, 0.0000) x2  8 Co 2.39-2.60
Co (0.0000, 0.5000, 0.2661) x4  4 Be 2.39-2.60, 4 Sb 2.47-2.53
Sb (0.0000, 0.0000, 0.5000) x2  8 Co 2.47-2.53, 4 Be 2.70